# Mg4ReSb, relaxed, DFT PBE
data_Mg4ReSb
_symmetry_space_group_name_H-M 'P 1'
_symmetry_Int_Tables_number 1
_cell_length_a 5.465
_cell_length_b 5.465
_cell_length_c 5.465
_cell_angle_alpha 60.00
_cell_angle_beta 60.00
_cell_angle_gamma 60.00
loop_
_symmetry_equiv_pos_as_xyz
'x,y,z'
loop_
_atom_site_label
_atom_site_fract_x
_atom_site_fract_y
_atom_site_fract_z
Mg1 0.871 0.376 0.376
Mg2 0.376 0.871 0.376
Mg3 0.376 0.376 0.376
Mg4 0.376 0.376 0.871
Re1 0.750 0.750 0.750
Sb1 0.000 0.000 0.000
# **M_tot**: 0.00 μB per formula unit
# **Space-group type**: No. 216
# **Uncorrected energy**: -3.33 eV/atom
# **Fermi-level density of states**: 3.8 states/eV/cell


# Mg3ReSb, relaxed, DFT PBE
data_Mg3ReSb
_symmetry_space_group_name_H-M 'P 1'
_symmetry_Int_Tables_number 1
_cell_length_a 5.061
_cell_length_b 5.061
_cell_length_c 5.061
_cell_angle_alpha 90.00
_cell_angle_beta 90.00
_cell_angle_gamma 90.00
loop_
_symmetry_equiv_pos_as_xyz
'x,y,z'
loop_
_atom_site_label
_atom_site_fract_x
_atom_site_fract_y
_atom_site_fract_z
Sb1 0.500 0.500 0.500
Mg1 0.000 0.000 0.500
Mg2 0.000 0.500 0.000
Mg3 0.500 0.000 0.000
Re1 0.000 0.000 0.000
# **M_tot**: 0.00 μB per formula unit
# **E above lowest polymorph**: 0.00 kJ per mole of atoms
# **Space-group type**: No. 221
# **Fermi-level density of states**: 3.0 states/eV/cell